Compound: BaBeCuH6
Source: Alexandria
Functional: PBE
Structure: relaxed

Properties
Uncorrected energy = -31.2 eV/f.u.

a b c (Å): 4.936 5.186 5.093
angles (deg): 97.59 91.50 52.36
Element x y z (fractional)
1 Ba 0.073 0.945 0.030
2 H 0.636 0.073 0.385
3 H 0.469 0.313 0.859
4 H 0.325 0.002 0.602
5 H 0.799 0.607 0.104
6 H 0.041 0.588 0.582
7 H 0.604 0.472 0.422
8 Cu 0.685 0.727 0.413
9 Be 0.367 0.272 0.604

***

Compound: InTe5
Source: Alexandria
Functional: PBE
Structure: relaxed

Properties
Offset from the most stable computed form = 307.0 meV/atom

a b c (Å): 6.643 6.643 5.280
angles (deg): 90.00 90.00 120.00
Element x y z (fractional)
1 Te 0.667 0.333 0.000
2 Te 0.500 0.500 0.500
3 Te 0.500 0.000 0.500
4 Te 0.333 0.667 0.000
5 Te 0.000 0.500 0.500
6 In 0.000 0.000 0.000

***

Compound: Li4Cu3Pt
Source: Alexandria
Functional: PBE
Structure: relaxed

Properties
Offset from the most stable computed form = 30.9 meV/atom
Energy of formation = -0.160 eV per atom

a b c (Å): 3.921 3.829 7.788
angles (deg): 75.76 104.58 90.00
Element x y z (fractional)
1 Li 0.748 0.752 0.496
2 Li 0.383 0.617 0.767
3 Li 0.617 0.383 0.233
4 Li 0.252 0.248 0.504
5 Cu 0.881 0.119 0.763
6 Cu 0.000 0.500 0.000
7 Cu 0.119 0.881 0.237
8 Pt 0.500 0.000 0.000

***

Q: Which formula does entry 2 have?
A: InTe5